[1]
6
Lattice="0.000 3.783 3.783 3.783 0.000 3.783 3.783 3.783 0.000" Properties=species:S:1:pos:R:3 comment="TaW4Br | Alexandria | PBE | relaxed" m_tot_mub_per_atom=0.00 formation_energy_uncorrected_ev_per_atom=0.8798 pbc="T T T"
Ta 0.000 0.000 0.000
W 4.727 2.840 2.840
W 2.840 4.727 2.840
W 2.840 2.840 4.727
W 4.727 4.727 4.727
Br 1.892 1.892 1.892

=====

[2]
4
Lattice="-1.912 1.912 4.756 1.912 -1.912 4.756 1.912 1.912 -4.756" Properties=species:S:1:pos:R:3 comment="TaW2Br | Alexandria | PBE | relaxed" m_tot_mub_per_atom=0.00 formation_energy_uncorrected_ev_per_atom=1.1210 de_polymorph_ev_per_atom=0.6218 pbc="T T T"
Ta 0.000 0.000 0.000
W 1.912 0.000 2.378
W 0.000 1.912 2.378
Br 0.000 0.000 4.756

=====

[3]
4
Lattice="3.143 0.000 0.000 0.000 3.143 0.000 0.000 0.000 7.460" Properties=species:S:1:pos:R:3 comment="TaW2Br | Alexandria | PBE | relaxed" m_tot_mub_per_atom=0.00 formation_energy_uncorrected_ev_per_atom=0.5174 de_polymorph_ev_per_atom=0.0181 pbc="T T T"
Ta 0.000 0.000 0.000
W 0.000 0.000 3.177
W 1.572 1.572 1.705
Br 1.572 1.572 5.447

=====

[4]
4
Lattice="3.061 0.000 0.000 0.000 4.600 0.000 0.000 0.000 4.877" Properties=species:S:1:pos:R:3 comment="TaW2Br | Alexandria | PBE | relaxed" m_tot_mub_per_atom=0.00 formation_energy_uncorrected_ev_per_atom=0.8942 de_polymorph_ev_per_atom=0.3949 pbc="T T T"
Ta 0.000 0.000 0.000
W 0.000 2.300 2.438
W 1.531 0.000 2.438
Br 1.531 2.300 0.000

=====

no.,total energy (eV per atom)
1,-10.01
2,-8.74
3,-9.34
4,-8.96